Entry 1:
DFT (PBE) results for an optimized crystal structure of RbTlB.

a = 4.286 Å, b = 5.776 Å, c = 8.064 Å
α = 90.00°, β = 90.18°, γ = 90.00°
Fractional coordinates of all 6 atoms:
1 Tl 0.301 0.000 0.333
2 Tl 0.802 0.500 0.592
3 B 0.802 0.133 0.533
4 B 0.802 0.867 0.533
5 Rb 0.800 0.500 0.154
6 Rb 0.304 0.000 0.815

Formation energy = 0.445 eV per atom
DOS(E_F) = 1.5 states/eV/f.u.
Uncorrected energy = -2.8917 eV per atom
ΔE to the lowest computed polymorph = 243 meV/atom
Space-group type = Pm, No. 6

***

Entry 2:
DFT (PBE) results for an optimized crystal structure of Rb2TlB.

a = 5.952 Å, b = 5.952 Å, c = 5.952 Å
α = 60.00°, β = 60.00°, γ = 60.00°
Fractional coordinates of all 4 atoms:
1 Tl 0.500 0.500 0.500
2 B 0.000 0.000 0.000
3 Rb 0.250 0.250 0.250
4 Rb 0.750 0.750 0.750

Formation energy = 1.088 eV per atom
DOS(E_F) = 4.5 states/eV/f.u.
Uncorrected energy = -1.6565 eV per atom
ΔE to the lowest computed polymorph = 489 meV/atom
Space-group type = Fm-3m, No. 225